DFT (PBE-GGA) results for crystalline GdDyAu at its relaxed geometry.

The structure in extended XYZ format:
```
3
Lattice="3.621 0.000 0.000 0.000 3.621 0.000 -1.810 -1.810 6.123" Properties=species:S:1:pos:R:3 pbc="T T T"
Gd 0.000 0.000 3.700
Au 1.811 1.811 5.574
Dy 1.810 1.810 1.135
```

Computed properties:
DFT formation energy in meV/atom: -548
DOS at the Fermi energy in states/eV/f.u.: 3.6
Energy in eV/atom: -7.868
SG: I4mm (107)
Size of the total moment in μB/atom: 2.704